This record from the Alexandria database describes an optimized crystal structure of UCrGaO6. The functional is PBE with a Hubbard U.

space group = P-31c
total magnetic moment = 2.99 μB per formula unit
density = 7.20 g cm⁻³
VASP energy = -8.006 eV/atom

Geometry as POSCAR:
```
UCrGaO6
1.0
5.223 0.000 0.000
-2.611 4.523 0.000
0.000 0.000 8.896
U Cr Ga O
2 2 2 12
Direct
0.333 0.667 0.250
0.667 0.333 0.750
0.000 0.000 0.000
0.000 0.000 0.500
0.333 0.667 0.750
0.667 0.333 0.250
0.011 0.335 0.628
0.011 0.675 0.872
0.325 0.335 0.872
0.325 0.989 0.628
0.335 0.011 0.128
0.335 0.325 0.372
0.665 0.675 0.628
0.665 0.989 0.872
0.675 0.011 0.372
0.675 0.665 0.128
0.989 0.325 0.128
0.989 0.665 0.372
```